Density functional theory data (PBE) for Sm4Ho3Tl4 after structural relaxation.

## Properties
The total magnetic moment is 0.0 μB per formula unit. The calculation puts the density of states at the Fermi level at 0.955 states/eV/atom. The calculation puts the final energy at -4.061 eV per atom. As for the formation enthalpy at 0 K: -0.236 eV per atom.

```
data_Sm4Ho3Tl4
_space_group_name_H-M_alt 'I m m m'
_space_group_IT_number 71
_space_group_name_Hall '-I 2 2'
_cell_length_a 3.657
_cell_length_b 9.442
_cell_length_c 19.228
_cell_angle_alpha 90.00
_cell_angle_beta 90.00
_cell_angle_gamma 90.00
loop_
_atom_site_label
_atom_site_fract_x
_atom_site_fract_y
_atom_site_fract_z
Sm1 0.000 0.179 0.161
Ho1 0.000 0.000 0.405
Ho2 0.000 0.500 0.500
Tl1 0.000 0.280 0.000
Tl2 0.000 0.500 0.226
```